DFT (GGA-PBE) results for crystalline HoH6Ru2 at its relaxed geometry.

```
9
Lattice="4.5712 -1.7861 0.0000 4.5712 1.7861 0.0000 -3.5940 0.0000 5.2163" Properties=species:S:1:pos:R:3 pbc="T T T"
Ho 0.0000 0.0000 0.0000
H -2.1785 0.0000 3.6441
H 1.1329 0.0000 2.0786
H -0.1741 0.0000 4.7758
H 5.7226 0.0000 0.4405
H 4.4156 0.0000 3.1377
H 7.7270 0.0000 1.5722
Ru -0.5217 0.0000 3.1368
Ru 6.0702 0.0000 2.0795
```

Output
Space group: C2/m (12)
Calculated total energy in eV/atom: -4.919